Below is a relaxed Na2PbWF8 crystal, with properties calculated at the PBE with a Hubbard U level.

## Properties
D(E_F) ... 0.00 states/eV/cell
Calculated density ... 5171 kg/m³
VASP energy ... -60.33 eV per cell

```
data_Na2PbWF8
_cell_length_a 4.472
_cell_length_b 5.522
_cell_length_c 7.661
_cell_angle_alpha 90.71
_cell_angle_beta 90.63
_cell_angle_gamma 90.37
_space_group_name_H-M_alt 'P -1'
_space_group_IT_number 2
_space_group_name_Hall '-P 1'
loop_
_atom_site_label
_atom_site_type_symbol
_atom_site_fract_x
_atom_site_fract_y
_atom_site_fract_z
Na1 Na 0.011 0.014 0.241
Pb1 Pb 0.500 0.500 0.000
W1 W 0.500 0.500 0.500
F1 F 0.063 0.245 0.994
F2 F 0.150 0.274 0.492
F3 F 0.355 0.709 0.304
F4 F 0.376 0.719 0.709
```